Fe2SiP, relaxed, DFT PBE-GGA; formation energy without anion corrections = -0.244 eV per atom
1.0
3.640 -1.338 0.000
3.640 1.338 0.000
-0.917 0.000 4.502
Fe Si P
2 1 1
Cartesian
1.603 0.000 1.079
4.760 0.000 3.423
-0.459 0.000 2.251
3.640 0.000 0.000

---

FeSiP, relaxed, DFT PBE-GGA; formation energy without anion corrections = 0.282 eV per atom
1.0
0.000 2.672 2.672
2.672 0.000 2.672
2.672 2.672 0.000
Fe Si P
1 1 1
Cartesian
0.000 0.000 0.000
2.672 2.672 2.672
1.336 1.336 1.336

---

Fe2SiP, relaxed, DFT PBE-GGA; formation energy without anion corrections = -0.255 eV per atom
1.0
0.000 2.773 2.773
2.773 0.000 2.773
2.773 2.773 0.000
Fe Si P
2 1 1
Cartesian
1.387 1.387 1.387
4.160 4.160 4.160
0.000 0.000 0.000
2.773 2.773 2.773

---

Fe2SiP, relaxed, DFT PBE-GGA; formation energy without anion corrections = -0.382 eV per atom
1.0
4.057 -1.372 0.000
4.057 1.372 0.000
-0.982 0.000 3.861
Fe Si P
2 1 1
Cartesian
0.000 0.000 0.000
1.263 0.000 2.300
5.890 0.000 0.416
3.526 0.000 1.851

---

Fe2SiP, relaxed, DFT PBE-GGA; formation energy without anion corrections = -0.253 eV per atom
1.0
1.336 0.771 7.120
-1.336 0.771 7.120
0.000 -1.543 7.120
Fe Si P
2 1 1
Cartesian
0.000 0.000 5.258
0.000 0.000 16.101
0.000 0.000 0.000
0.000 0.000 10.680

---

FeSi2P, relaxed, DFT PBE-GGA; formation energy without anion corrections = 0.242 eV per atom
1.0
-1.592 2.172 3.679
1.592 -2.172 3.679
1.592 2.172 -3.679
Fe Si P
1 2 1
Cartesian
0.000 0.000 0.000
1.592 0.000 1.925
0.000 2.172 1.754
0.000 0.000 3.679

---

Fe2SiP, relaxed, DFT PBE-GGA; formation energy without anion corrections = -0.489 eV per atom
1.0
2.943 0.000 0.000
0.000 5.915 0.000
0.000 0.000 5.276
Fe Si P
4 2 2
Cartesian
0.000 0.277 0.000
0.000 5.637 2.638
1.472 2.616 5.262
1.472 3.299 2.624
0.000 1.848 3.618
0.000 4.067 0.980
1.472 1.128 1.652
1.472 4.787 4.290

---

FeSiP, relaxed, DFT PBE-GGA; formation energy without anion corrections = -0.268 eV per atom
1.0
4.693 0.000 0.000
0.000 3.283 0.000
0.000 0.000 9.919
Fe Si P
4 4 4
Cartesian
0.401 0.821 1.785
1.945 2.462 6.744
2.748 0.821 3.175
4.291 2.462 8.134
0.782 0.821 9.403
1.565 2.462 4.444
3.128 0.821 5.475
3.911 2.462 0.516
0.393 0.821 6.612
1.953 2.462 1.653
2.740 0.821 8.266
4.299 2.462 3.306

---

FeSiP, relaxed, DFT PBE-GGA; formation energy without anion corrections = -0.133 eV per atom
1.0
2.887 0.000 0.000
-1.444 2.500 0.000
0.000 0.000 5.115
Fe Si P
1 1 1
Cartesian
0.000 0.000 0.000
1.444 0.833 3.425
0.000 1.667 1.536

---

FeSi2P, relaxed, DFT PBE-GGA; formation energy without anion corrections = -0.080 eV per atom
1.0
3.850 -1.344 0.000
3.850 1.344 0.000
-1.773 0.000 5.356
Fe Si P
1 2 1
Cartesian
0.000 0.000 0.000
1.994 0.000 3.312
4.040 0.000 1.968
0.385 0.000 5.205

---

FeSi2P, relaxed, DFT PBE-GGA; formation energy without anion corrections = 0.224 eV per atom
1.0
3.814 0.000 0.000
0.000 3.106 0.000
-1.888 0.000 4.395
Fe Si P
1 2 1
Cartesian
0.000 0.000 0.000
0.963 0.000 2.198
1.907 1.553 0.000
-0.944 1.553 2.198

---

FeSiP, relaxed, DFT PBE-GGA; formation energy without anion corrections = 0.136 eV per atom
1.0
3.900 0.000 0.000
-1.950 3.378 0.000
0.000 0.000 2.738
Fe Si P
1 1 1
Cartesian
0.000 0.000 0.000
0.000 2.252 1.369
1.950 1.126 0.000

---

FeSi2P, relaxed, DFT PBE-GGA; formation energy without anion corrections = -0.076 eV per atom
1.0
2.637 0.000 0.000
0.000 2.811 0.000
0.000 0.000 6.892
Fe Si P
1 2 1
Cartesian
0.000 0.000 0.000
1.319 1.405 1.408
1.319 1.405 5.484
1.319 0.000 3.446

---

FeSi2P, relaxed, DFT PBE-GGA; formation energy without anion corrections = 0.071 eV per atom
1.0
2.756 0.000 0.000
0.000 2.756 0.000
0.000 0.000 6.732
Fe Si P
1 2 1
Cartesian
0.000 0.000 0.000
0.000 0.000 3.390
1.378 1.378 5.239
1.378 1.378 1.289

---

FeSi2P, relaxed, DFT PBE-GGA; formation energy without anion corrections = 0.083 eV per atom
1.0
1.499 0.866 6.674
-1.499 0.866 6.674
0.000 -1.731 6.674
Fe Si P
1 2 1
Cartesian
0.000 0.000 0.000
0.000 0.000 5.041
0.000 0.000 14.982
0.000 0.000 10.011

---

Fe2SiP, relaxed, DFT PBE-GGA; formation energy without anion corrections = -0.321 eV per atom
1.0
2.697 0.000 0.000
0.000 4.251 0.000
-1.329 0.000 4.072
Fe Si P
2 1 1
Cartesian
0.000 0.000 0.000
0.021 2.126 3.328
0.020 0.000 2.259
0.003 2.126 0.990

---

FeSi2P, relaxed, DFT PBE-GGA; formation energy without anion corrections = 0.226 eV per atom
1.0
2.475 -3.436 0.000
2.475 3.436 0.000
0.000 0.000 2.818
Fe Si P
1 2 1
Cartesian
0.000 0.000 0.000
1.237 1.718 1.409
1.237 -1.718 1.409
2.475 0.000 0.000

---

FeSiP, relaxed, DFT PBE-GGA; formation energy without anion corrections = -0.082 eV per atom
1.0
3.428 0.000 0.000
0.000 3.428 0.000
0.000 0.000 6.391
Fe Si P
2 2 2
Cartesian
0.857 0.857 1.396
2.571 2.571 4.995
0.857 0.857 3.797
2.571 2.571 2.593
0.857 2.571 0.000
2.571 0.857 0.000

---

Fe2SiP, relaxed, DFT PBE-GGA; formation energy without anion corrections = -0.239 eV per atom
1.0
3.892 0.000 0.000
0.000 2.683 0.000
-1.839 0.000 4.194
Fe Si P
2 1 1
Cartesian
0.000 0.000 0.000
-0.920 1.342 2.097
1.026 0.000 2.097
1.946 1.342 0.000

---

Fe3SiP, relaxed, DFT PBE-GGA; formation energy without anion corrections = 0.483 eV per atom
1.0
4.033 0.000 0.000
0.000 4.033 0.000
0.000 0.000 4.033
Fe Si P
3 1 1
Cartesian
0.000 0.000 2.017
0.000 2.017 0.000
2.017 0.000 0.000
2.017 2.017 2.017
0.000 0.000 0.000

---

FeSiP, relaxed, DFT PBE-GGA; formation energy without anion corrections = 0.047 eV per atom
1.0
-1.572 1.572 3.616
1.572 -1.572 3.616
1.572 1.572 -3.616
Fe Si P
1 1 1
Cartesian
0.000 0.000 0.000
0.000 0.000 4.769
0.000 0.000 2.365

---

Fe5SiP3, relaxed, DFT PBE-GGA; formation energy without anion corrections = -0.127 eV per atom
1.0
3.917 0.000 0.000
0.000 3.917 0.000
0.000 0.000 6.986
Fe Si P
5 1 3
Cartesian
0.000 0.000 0.000
0.000 1.959 1.435
0.000 1.959 5.552
1.959 0.000 1.435
1.959 0.000 5.552
1.959 1.959 3.493
0.000 0.000 2.419
0.000 0.000 4.567
1.959 1.959 0.000

---

Fe2SiP, relaxed, DFT PBE-GGA; formation energy without anion corrections = 0.022 eV per atom
1.0
2.625 0.000 0.000
0.000 2.625 0.000
0.000 0.000 7.017
Fe Si P
2 1 1
Cartesian
0.000 0.000 0.000
1.312 1.312 1.687
1.312 1.312 5.503
0.000 0.000 3.023

---

FeSi2P, relaxed, DFT PBE-GGA; formation energy without anion corrections = 0.040 eV per atom
1.0
1.827 -8.687 0.000
1.827 8.687 0.000
0.000 0.000 3.868
Fe Si P
2 4 2
Cartesian
1.827 4.481 2.901
1.827 -4.481 0.967
1.827 8.088 0.967
1.827 5.770 0.967
1.827 -5.770 2.901
1.827 -8.088 2.901
1.827 2.833 0.967
1.827 -2.833 2.901

---

FeSiP6, relaxed, DFT PBE-GGA; formation energy without anion corrections = -0.243 eV per atom
1.0
5.583 -3.966 0.000
5.583 3.966 0.000
-5.572 0.000 5.605
Fe Si P
2 2 12
Cartesian
2.791 1.983 0.000
2.791 -1.983 0.000
0.006 1.983 2.803
0.006 -1.983 2.803
4.685 2.850 0.731
0.909 2.850 4.874
2.098 1.166 1.946
-1.683 0.000 5.541
-0.015 0.000 4.087
3.495 1.166 3.659
2.098 -1.166 1.946
5.609 0.000 1.518
7.277 0.000 0.065
3.495 -1.166 3.659
4.685 -2.850 0.731
0.909 -2.850 4.874

---

Fe2SiP, relaxed, DFT PBE-GGA; formation energy without anion corrections = -0.097 eV per atom
1.0
-1.659 1.659 3.981
1.659 -1.659 3.981
1.659 1.659 -3.981
Fe Si P
2 1 1
Cartesian
0.000 0.000 0.000
0.000 1.659 1.990
0.000 0.000 3.981
1.659 0.000 1.990

---

FeSiP, relaxed, DFT PBE-GGA; formation energy without anion corrections = -0.179 eV per atom
1.0
5.905 0.000 0.000
0.000 4.188 0.000
0.000 0.000 5.954
Fe Si P
4 4 4
Cartesian
0.721 1.047 0.336
2.232 3.141 3.313
3.673 1.047 2.641
5.184 3.141 5.618
0.308 3.141 1.765
2.645 1.047 4.742
3.260 3.141 1.212
5.597 1.047 4.189
1.440 1.047 2.506
1.513 3.141 5.483
4.392 1.047 0.471
4.466 3.141 3.448

---

FeSiP, relaxed, DFT PBE-GGA; formation energy without anion corrections = 0.202 eV per atom
1.0
4.219 0.000 0.000
0.000 4.219 0.000
0.000 0.000 4.647
Fe Si P
2 2 2
Cartesian
1.055 1.055 0.911
3.164 3.164 3.737
1.055 1.055 3.166
3.164 3.164 1.482
1.055 3.164 0.000
3.164 1.055 0.000